An optimized crystal structure of KFeP2O8, computed with PBE+U.

Cell: 5.1843 5.1843 7.6916 Å, 90.00 90.00 120.00°
Space group P-3 (No. 147)
One atom of each set of equivalent atoms:
1 K 0.0000 0.0000 0.0000 (multiplicity 1)
2 Fe 0.0000 0.0000 0.5000 (multiplicity 1)
3 P 0.3333 0.6667 0.7118 (multiplicity 2)
4 O 0.1048 0.3475 0.6546 (multiplicity 6)
5 O 0.3333 0.6667 0.9132 (multiplicity 2)

Values from the calculation:
The size of the total moment comes out at 0.246 μB/atom. The energy is -6.56 eV per atom. As for the density of states at the Fermi level: 5.888 states/eV/f.u.